LiV6O11F: optimized geometry, GGA+U.

Geometry as CIF:
```
data_LiV6O11F
_chemical_formula_sum 'Li1 V6 O11 F1'
_symmetry_space_group_name_H-M 'P 1'
_symmetry_Int_Tables_number 1
_cell_length_a 5.110
_cell_length_b 5.110
_cell_length_c 8.728
_cell_angle_alpha 88.43
_cell_angle_beta 88.43
_cell_angle_gamma 77.65
loop_
_symmetry_equiv_pos_as_xyz
'x,y,z'
loop_
_atom_site_label
_atom_site_type_symbol
_atom_site_fract_x
_atom_site_fract_y
_atom_site_fract_z
Li1 Li 0.293 0.293 0.618
V1 V 0.020 0.020 0.013
V2 V 0.985 0.985 0.331
V3 V 0.983 0.983 0.666
V4 V 0.584 0.584 0.165
V5 V 0.425 0.425 0.851
V6 V 0.579 0.579 0.502
O1 O 0.161 0.161 0.154
O2 O 0.131 0.131 0.497
O3 O 0.197 0.197 0.834
O4 O 0.314 0.690 0.004
O5 O 0.334 0.705 0.334
O6 O 0.297 0.664 0.671
O7 O 0.690 0.314 0.004
O8 O 0.705 0.334 0.334
O9 O 0.664 0.297 0.671
O10 O 0.811 0.811 0.163
O11 O 0.799 0.799 0.507
F1 F 0.834 0.834 0.854
```

Results
* E: -140.6 eV/f.u.
* space-group type: No. 8